# 1
! Cs2CePaSe6, relaxed, DFT PBE-GGA; values from VASP
! VASP energy: -5.18 eV/atom
! Magnetization: 0.00 μB per formula unit
! Formation energy without anion corrections: -1.380 eV/atom
! Space-group type: Pmmn, No. 59
&SYSTEM
  ibrav = 0, nat = 20, ntyp = 4
/
ATOMIC_SPECIES
Cs 132.91 Cs.upf
Ce 140.12 Ce.upf
Pa 231.04 Pa.upf
Se 78.96 Se.upf
CELL_PARAMETERS angstrom
7.922 0.000 0.000
0.000 11.200 0.000
0.000 0.000 7.919
ATOMIC_POSITIONS crystal
Cs 0.250 0.000 0.250
Cs 0.250 0.500 0.250
Cs 0.750 0.000 0.750
Cs 0.750 0.500 0.750
Ce 0.250 0.250 0.750
Ce 0.750 0.750 0.250
Pa 0.250 0.750 0.750
Pa 0.750 0.250 0.250
Se 0.004 0.750 0.503
Se 0.004 0.750 0.996
Se 0.250 0.504 0.749
Se 0.250 0.996 0.749
Se 0.496 0.750 0.503
Se 0.496 0.750 0.996
Se 0.504 0.250 0.004
Se 0.504 0.250 0.497
Se 0.750 0.004 0.251
Se 0.750 0.496 0.251
Se 0.996 0.250 0.004
Se 0.996 0.250 0.497

***

# 2
! Sb2AuS4, relaxed, DFT PBE-GGA; values from VASP
! VASP energy: -4.04 eV/atom
! Magnetization: 0.00 μB per formula unit
! Formation energy without anion corrections: -0.036 eV/atom
! Space-group type: Cccm, No. 66
&SYSTEM
  ibrav = 0, nat = 14, ntyp = 3
/
ATOMIC_SPECIES
Sb 121.76 Sb.upf
Au 196.97 Au.upf
S 32.06 S.upf
CELL_PARAMETERS angstrom
3.938 -7.920 0.000
3.938 7.920 0.000
0.000 0.000 7.934
ATOMIC_POSITIONS crystal
Sb 0.225 0.733 0.000
Sb 0.267 0.775 0.500
Sb 0.733 0.225 0.500
Sb 0.775 0.267 0.000
Au 0.000 0.000 0.250
Au 0.000 0.000 0.750
S 0.000 0.500 0.229
S 0.000 0.500 0.771
S 0.055 0.872 0.500
S 0.128 0.945 0.000
S 0.500 0.000 0.271
S 0.500 0.000 0.729
S 0.872 0.055 0.000
S 0.945 0.128 0.500

***

# 3
! LaTbMgCd, relaxed, DFT PBE-GGA; values from VASP
! VASP energy: -3.22 eV/atom
! Magnetization: 0.00 μB per formula unit
! Formation energy from the elements: -208 meV/atom
! Space-group type: P4mm, No. 99
! Relative energy among the computed polymorphs: 0 meV per atom
&SYSTEM
  ibrav = 0, nat = 4, ntyp = 4
/
ATOMIC_SPECIES
La 138.91 La.upf
Tb 158.93 Tb.upf
Mg 24.30 Mg.upf
Cd 112.41 Cd.upf
CELL_PARAMETERS angstrom
3.837 0.000 0.000
0.000 3.837 0.000
0.000 0.000 7.818
ATOMIC_POSITIONS crystal
La 0.000 0.000 0.000
Tb 0.000 0.000 0.502
Mg 0.500 0.500 0.267
Cd 0.500 0.500 0.728

***

# 4
! CaMgAgN2, relaxed, DFT PBE-GGA; values from VASP
! VASP energy: -3.87 eV/atom
! Magnetization: 1.17 μB per formula unit
! Formation energy without anion corrections: 0.748 eV/atom
! Space-group type: P4/mmm, No. 123
&SYSTEM
  ibrav = 0, nat = 5, ntyp = 4
/
ATOMIC_SPECIES
Ca 40.08 Ca.upf
Mg 24.30 Mg.upf
Ag 107.87 Ag.upf
N 14.01 N.upf
CELL_PARAMETERS angstrom
4.209 0.000 0.000
0.000 4.209 0.000
0.000 0.000 4.737
ATOMIC_POSITIONS crystal
Ca 0.000 0.000 0.000
Mg 0.500 0.500 0.500
Ag 0.500 0.500 0.000
N 0.000 0.500 0.500
N 0.500 0.000 0.500

***

# 5
! Pa2HS2, relaxed, DFT PBE-GGA; values from VASP
! VASP energy: -7.25 eV/atom
! Magnetization: 0.00 μB per formula unit
! Space-group type: C2/c, No. 15
&SYSTEM
  ibrav = 0, nat = 10, ntyp = 3
/
ATOMIC_SPECIES
Pa 231.04 Pa.upf
H 1.01 H.upf
S 32.06 S.upf
CELL_PARAMETERS angstrom
4.154 -3.890 0.000
4.154 3.890 0.000
-4.133 0.000 5.502
ATOMIC_POSITIONS crystal
Pa 0.120 0.880 0.750
Pa 0.370 0.630 0.250
Pa 0.630 0.370 0.750
Pa 0.880 0.120 0.250
H 0.125 0.875 0.250
H 0.875 0.125 0.750
S 0.141 0.391 0.750
S 0.391 0.141 0.250
S 0.609 0.859 0.750
S 0.859 0.609 0.250

***

# 6
! HoIn2Ag9, relaxed, DFT PBE-GGA; values from VASP
! VASP energy: -3.01 eV/atom
! Magnetization: 0.00 μB per formula unit
! Formation energy from the elements: -30 meV/atom
! Space-group type: R-3m, No. 166
&SYSTEM
  ibrav = 0, nat = 12, ntyp = 3
/
ATOMIC_SPECIES
Ho 164.93 Ho.upf
In 114.82 In.upf
Ag 107.87 Ag.upf
CELL_PARAMETERS angstrom
2.790 1.611 9.176
-2.790 1.611 9.176
0.000 -3.221 9.176
ATOMIC_POSITIONS crystal
Ho 0.000 0.000 0.000
In 0.141 0.141 0.141
In 0.859 0.859 0.859
Ag 0.081 0.587 0.587
Ag 0.334 0.334 0.334
Ag 0.413 0.413 0.919
Ag 0.413 0.919 0.413
Ag 0.500 0.500 0.500
Ag 0.587 0.081 0.587
Ag 0.587 0.587 0.081
Ag 0.666 0.666 0.666
Ag 0.919 0.413 0.413